SrMnO3 | PBE+U | optimized geometry

abc: 6.870 6.870 6.870
angles: 50.06 50.06 50.06
Last column: magnetic moment on the atom in μB.
Atoms (fractional coordinates):
Mn1 0.750 0.750 0.750  3.01
Mn2 0.250 0.250 0.250  3.01
Sr1 0.000 0.000 0.000  0.01
Sr2 0.500 0.500 0.500  0.01
O1 0.047 0.453 0.750  -0.06
O2 0.953 0.547 0.250  -0.06
O3 0.547 0.250 0.953  -0.06
O4 0.750 0.047 0.453  -0.06
O5 0.250 0.953 0.547  -0.06
O6 0.453 0.750 0.047  -0.06

The raw total energy comes out at -6.631 eV/atom. The calculation puts the density of states at the Fermi level at 0.000 states/eV per atom. Its space group is No. 167.